Entry from Alexandria: a relaxed CoRePb crystal (PBE-GGA).

Output
formation enthalpy at 0 K = 672 meV/atom
calculated total energy = -7.0816 eV/atom
total magnetization = 0.00 μB per cell
density of states at the Fermi level = 4.4 states/eV/cell

a = 2.938 Å, b = 2.938 Å, c = 11.880 Å
α = 90.00°, β = 90.00°, γ = 90.00°
Positions (direct):
Co (0.000, 0.000, 0.000)
Co (0.500, 0.500, 0.500)
Re (0.000, 0.000, 0.383)
Re (0.500, 0.500, 0.883)
Pb (0.000, 0.000, 0.687)
Pb (0.500, 0.500, 0.187)